No. 1
## CrInGeCl6 (GGA-PBE)

Data for a relaxed structure of CrInGeCl6.

The structure belongs to space group P312 (No. 149); the cell edges are 6.6407, 6.6407 and 6.8472 Å and the angles 90.00°, 90.00° and 120.00°. The distinct sites, in fractional coordinates, are Cr at (0.0000, 0.0000, 0.0000), In at (0.3333, 0.6667, 0.5000), Ge at (0.6667, 0.3333, 0.0000) and Cl at (0.2982, 0.0162, 0.2022).

The calculation puts the uncorrected formation energy at -90.49 kJ per mole of atoms. As for the final energy: -36.50 eV for the cell shown.


No. 2
## Sn3GeW (GGA-PBE)

Data for a relaxed structure of Sn3GeW.

The structure belongs to space group Pm-3m (No. 221); the cell edges are 5.285, 5.285 and 5.285 Å and the angles 90.00°, 90.00° and 90.00°. The distinct sites, in fractional coordinates, are Sn at (0.000, 0.000, 0.500), Ge at (0.500, 0.500, 0.500) and W at (0.000, 0.000, 0.000).

The calculation puts the energy above the most stable polymorph in this dataset at 0.0 meV/atom. The calculation puts the density of states at the Fermi level at 1.08 states/eV per atom. For the energy relative to the elements, the calculation gives 0.74 eV per atom. As for the final energy: -25.88 eV for the cell shown.


No. 3
## PaZn9Au2 (GGA-PBE)

Data for a relaxed structure of PaZn9Au2.

The structure belongs to space group I4_1/amd (No. 141, origin choice 2); the cell edges are 10.670, 10.670 and 6.985 Å and the angles 90.00°, 90.00° and 90.00°. The distinct sites, in fractional coordinates, are Pa at (0.000, 0.250, 0.375), Zn at (0.000, 0.250, 0.875), Zn at (0.120, 0.042, 0.670) and Au at (0.000, 0.000, 0.000).

The calculation puts the energy above the most stable polymorph in this dataset at 0.0 meV/atom. The calculation puts the density of states at the Fermi level at 0.62 states/eV per atom. For the energy relative to the elements, the calculation gives -0.16 eV per atom. As for the final energy: -117.82 eV for the cell shown.


No. 4
## DyTm3Ru (GGA-PBE)

Data for a relaxed structure of DyTm3Ru.

The structure belongs to space group C2/m (No. 12); the cell edges are 11.566, 8.435 and 7.913 Å and the angles 90.00°, 132.88° and 90.00°. The distinct sites, in fractional coordinates, are Dy at (0.053, 0.000, 0.344), Tm at (0.055, 0.500, 0.258), Tm at (0.248, 0.303, 0.794) and Ru at (0.249, 0.500, 0.120).

The calculation puts the energy above the most stable polymorph in this dataset at 0.0 meV/atom. The calculation puts the density of states at the Fermi level at 1.10 states/eV per atom. For the energy relative to the elements, the calculation gives -0.22 eV per atom. As for the final energy: -113.63 eV for the cell shown.


No. 5
## Nd3Tl2Ga (GGA-PBE)

Data for a relaxed structure of Nd3Tl2Ga.

The structure belongs to space group Cmmm (No. 65); the cell edges are 5.482, 16.374 and 3.784 Å and the angles 90.00°, 90.00° and 90.00°. The distinct sites, in fractional coordinates, are Nd at (0.000, 0.000, 0.000), Nd at (0.000, 0.344, 0.000), Tl at (0.000, 0.173, 0.500) and Ga at (0.000, 0.500, 0.500).

The calculation puts the energy above the most stable polymorph in this dataset at 6.6 meV/atom. The calculation puts the density of states at the Fermi level at 0.67 states/eV per atom. For the energy relative to the elements, the calculation gives -0.43 eV per atom. As for the final energy: -49.34 eV for the cell shown.


No. 6
## K2BiSbW (GGA-PBE)

Data for a relaxed structure of K2BiSbW.

The structure belongs to space group P4/mmm (No. 123); the cell edges are 6.422, 6.422 and 5.197 Å and the angles 90.00°, 90.00° and 90.00°. The distinct sites, in fractional coordinates, are K at (0.000, 0.500, 0.000), Bi at (0.000, 0.000, 0.500), Sb at (0.500, 0.500, 0.000) and W at (0.500, 0.500, 0.500).

The calculation puts the energy above the most stable polymorph in this dataset at 0.0 meV/atom. The calculation puts the density of states at the Fermi level at 0.29 states/eV per atom. The calculation puts the uncorrected formation energy at 85.87 kJ per mole of atoms. As for the final energy: -18.70 eV for the cell shown.


No. 7
## SrMgSe2 (GGA-PBE)

Data for a relaxed structure of SrMgSe2.

The structure belongs to space group Cm (No. 8); the cell edges are 13.885, 3.977 and 4.247 Å and the angles 90.00°, 91.40° and 90.00°. The distinct sites, in fractional coordinates, are Sr at (0.000, 0.000, 0.000), Mg at (0.254, 0.000, 0.357), Se at (0.188, 0.500, 0.018) and Se at (0.431, 0.000, 0.497).

The calculation puts the uncorrected formation energy at -141.64 kJ per mole of atoms. As for the final energy: -32.23 eV for the cell shown.


No. 8
## GaAg (GGA-PBE)

Data for a relaxed structure of GaAg.

The structure belongs to space group Pmmn (No. 59, origin choice 2); the cell edges are 2.993, 4.844 and 4.840 Å and the angles 90.00°, 90.00° and 90.00°. The distinct sites, in fractional coordinates, are Ga at (0.250, 0.250, 0.099) and Ag at (0.250, 0.750, 0.397).

The calculation puts the density of states at the Fermi level at 0.23 states/eV per atom. For the energy relative to the elements, the calculation gives -0.03 eV per atom. As for the final energy: -11.89 eV for the cell shown.


- Which formula does entry 7 have?
  SrMgSe2